Compound: AsRhSBr2
Source: Alexandria via LeMat-Bulk
Functional: GGA-PBE
Structure: relaxed

Lattice parameters (Å, degrees): 5.027 5.027 4.824 90.00 90.00 90.00
Fractional coordinates of all 5 atoms:
As  0.000  0.000  0.000
Rh  0.000  0.000  0.500
S  0.500  0.500  0.000
Br  0.000  0.500  0.500
Br  0.500  0.000  0.500

Values from the calculation:
V	121.9	Å³ per cell
formation energy (no corrections)	0.563	eV/atom
calculated total energy	-3.332	eV/atom